[1]
! RbScAgP2 | Alexandria via LeMat-Bulk | meta-GGA SCAN | single point on PBEsol structure; values from VASP
! ΔH_f (0 K): 686 meV/atom
&SYSTEM
  ibrav = 0, nat = 5, ntyp = 4
/
ATOMIC_SPECIES
Rb 85.47 Rb.upf
Sc 44.96 Sc.upf
Ag 107.87 Ag.upf
P 30.97 P.upf
CELL_PARAMETERS angstrom
4.9203 0.0000 0.0000
0.0000 4.9203 0.0000
0.0000 0.0000 5.1780
ATOMIC_POSITIONS angstrom
Rb 0.0000 0.0000 0.0000
Sc 2.4601 2.4601 0.0000
Ag 0.0000 0.0000 2.5890
P 0.0000 2.4601 2.5890
P 2.4601 0.0000 2.5890

[2]
! AgRh2Br | Alexandria via LeMat-Bulk | meta-GGA SCAN | single point on PBEsol structure; values from VASP
! ΔE_f (raw): 688 meV per atom
&SYSTEM
  ibrav = 0, nat = 4, ntyp = 3
/
ATOMIC_SPECIES
Ag 107.87 Ag.upf
Rh 102.91 Rh.upf
Br 79.90 Br.upf
CELL_PARAMETERS angstrom
2.8743 0.0000 0.0000
0.0000 4.5753 0.0000
0.0000 0.0000 4.8526
ATOMIC_POSITIONS angstrom
Ag 0.0000 0.0000 0.0000
Rh 0.0000 2.2877 2.4263
Rh 1.4372 2.2877 0.0000
Br 1.4372 0.0000 2.4263

[3]
! LaIO3 | Alexandria via LeMat-Bulk | meta-GGA SCAN | single point on PBEsol structure; values from VASP
! ΔE_f (raw): -2010 meV per atom
&SYSTEM
  ibrav = 0, nat = 10, ntyp = 3
/
ATOMIC_SPECIES
La 138.91 La.upf
I 126.90 I.upf
O 16.00 O.upf
CELL_PARAMETERS angstrom
10.1988 -2.0570 0.0000
10.1988 2.0570 0.0000
-0.0792 0.0000 4.2329
ATOMIC_POSITIONS angstrom
La 3.8906 0.0000 1.0318
La 16.4277 0.0000 3.2011
I 8.4892 0.0000 1.0767
I 11.8291 0.0000 3.1562
O 2.0449 0.0000 3.2266
O 5.0063 0.0000 3.1756
O 7.9820 0.0000 2.9629
O 12.3363 0.0000 1.2700
O 15.3120 0.0000 1.0573
O 18.2734 0.0000 1.0063

[4]
! LiFeIr2 | Alexandria via LeMat-Bulk | meta-GGA SCAN | single point on PBEsol structure; values from VASP
! ΔH_f (0 K): -112 meV/atom
&SYSTEM
  ibrav = 0, nat = 4, ntyp = 3
/
ATOMIC_SPECIES
Li 6.94 Li.upf
Fe 55.84 Fe.upf
Ir 192.22 Ir.upf
CELL_PARAMETERS angstrom
-1.8101 1.8101 3.8062
1.8101 -1.8101 3.8062
1.8101 1.8101 -3.8062
ATOMIC_POSITIONS angstrom
Li 0.0000 0.0000 0.0000
Fe 0.0000 1.8101 1.9031
Ir 1.8101 0.0000 1.9031
Ir 0.0000 0.0000 3.8062

[5]
! CsRu2SF | Alexandria via LeMat-Bulk | meta-GGA SCAN | single point on PBEsol structure; values from VASP
! ΔE_f (raw): 2310 meV per atom
&SYSTEM
  ibrav = 0, nat = 5, ntyp = 4
/
ATOMIC_SPECIES
Cs 132.91 Cs.upf
Ru 101.07 Ru.upf
S 32.06 S.upf
F 19.00 F.upf
CELL_PARAMETERS angstrom
5.0975 0.0000 0.0000
0.0000 5.0975 0.0000
0.0000 0.0000 5.2475
ATOMIC_POSITIONS angstrom
Cs 0.0000 0.0000 0.0000
Ru 0.0000 2.5487 0.0000
Ru 2.5487 0.0000 0.0000
S 0.0000 0.0000 2.6238
F 2.5487 2.5487 2.6238

[6]
! ScGa6Fe6 | Alexandria via LeMat-Bulk | meta-GGA SCAN | single point on PBEsol structure; values from VASP
! ΔH_f (0 K): -353 meV/atom
&SYSTEM
  ibrav = 0, nat = 13, ntyp = 3
/
ATOMIC_SPECIES
Sc 44.96 Sc.upf
Ga 69.72 Ga.upf
Fe 55.84 Fe.upf
CELL_PARAMETERS angstrom
-2.4544 4.1285 4.2276
2.4544 -4.1285 4.2276
2.4544 4.1285 -4.2276
ATOMIC_POSITIONS angstrom
Sc 0.0000 0.0000 0.0000
Ga 2.4544 0.0000 1.4956
Ga 0.0000 2.7043 0.0000
Ga 0.0000 0.0000 2.8817
Ga 0.0000 0.0000 5.5734
Ga 0.0000 5.5526 0.0000
Ga 0.0000 4.1285 2.7320
Fe 1.2272 2.0642 -2.1138
Fe 1.2272 -2.0642 2.1138
Fe 2.4544 2.0100 0.0000
Fe -1.2272 2.0642 2.1138
Fe 1.2272 2.0642 2.1138
Fe 0.0000 2.1185 4.2276

[7]
! LaRu2 | Alexandria via LeMat-Bulk | meta-GGA SCAN | single point on PBEsol structure; values from VASP
! ΔH_f (0 K): -132 meV/atom
&SYSTEM
  ibrav = 0, nat = 6, ntyp = 2
/
ATOMIC_SPECIES
La 138.91 La.upf
Ru 101.07 Ru.upf
CELL_PARAMETERS angstrom
0.0000 3.7968 3.7968
3.7968 0.0000 3.7968
3.7968 3.7968 0.0000
ATOMIC_POSITIONS angstrom
La 0.9492 0.9492 0.9492
La 6.6444 6.6444 6.6444
Ru 3.7968 1.8984 1.8984
Ru 1.8984 3.7968 1.8984
Ru 1.8984 1.8984 3.7968
Ru 3.7968 3.7968 3.7968

[8]
! YInHg2 | Alexandria via LeMat-Bulk | meta-GGA SCAN | single point on PBEsol structure; values from VASP
! ΔH_f (0 K): -510 meV/atom
&SYSTEM
  ibrav = 0, nat = 4, ntyp = 3
/
ATOMIC_SPECIES
Y 88.91 Y.upf
In 114.82 In.upf
Hg 200.59 Hg.upf
CELL_PARAMETERS angstrom
4.5674 0.0000 0.0000
0.0000 4.5674 0.0000
0.0000 0.0000 4.3921
ATOMIC_POSITIONS angstrom
Y 0.0000 0.0000 0.0000
In 2.2837 2.2837 0.0000
Hg 0.0000 2.2837 2.1960
Hg 2.2837 0.0000 2.1960

[9]
! La2TcCl | Alexandria via LeMat-Bulk | meta-GGA SCAN | single point on PBEsol structure; values from VASP
! ΔE_f (raw): -877 meV per atom
&SYSTEM
  ibrav = 0, nat = 4, ntyp = 3
/
ATOMIC_SPECIES
La 138.91 La.upf
Tc 98.00 Tc.upf
Cl 35.45 Cl.upf
CELL_PARAMETERS angstrom
3.4189 0.0000 0.0000
0.0000 3.4298 0.0000
-0.5057 0.0000 8.0160
ATOMIC_POSITIONS angstrom
La 0.0727 0.0000 2.2345
La 2.8405 0.0000 5.7815
Tc 1.4566 1.7149 4.0080
Cl 1.7095 1.7149 0.0000

[10]
! Sr2SiIr | Alexandria via LeMat-Bulk | meta-GGA SCAN | single point on PBEsol structure; values from VASP
! ΔE_f (raw): 361 meV per atom
&SYSTEM
  ibrav = 0, nat = 4, ntyp = 3
/
ATOMIC_SPECIES
Sr 87.62 Sr.upf
Si 28.09 Si.upf
Ir 192.22 Ir.upf
CELL_PARAMETERS angstrom
1.7865 1.0315 9.1759
-1.7865 1.0315 9.1759
0.0000 -2.0629 9.1759
ATOMIC_POSITIONS angstrom
Sr 0.0000 0.0000 6.7274
Sr 0.0000 0.0000 20.8004
Si 0.0000 0.0000 0.0000
Ir 0.0000 0.0000 13.7639

[11]
! Cd2OsC6N6 | Alexandria via LeMat-Bulk | meta-GGA SCAN | single point on PBEsol structure; values from VASP
! ΔE_f (raw): 115 meV per atom
&SYSTEM
  ibrav = 0, nat = 15, ntyp = 4
/
ATOMIC_SPECIES
Cd 112.41 Cd.upf
Os 190.23 Os.upf
C 12.01 C.upf
N 14.01 N.upf
CELL_PARAMETERS angstrom
6.3228 0.0000 0.0000
-3.1614 5.4757 0.0000
0.0000 0.0000 6.6450
ATOMIC_POSITIONS angstrom
Cd 0.0000 3.6505 0.0000
Cd 3.1614 1.8252 0.0000
Os 0.0000 0.0000 3.3225
C -0.7877 1.3643 2.0957
C -2.3737 4.1114 4.5493
C 1.5754 0.0000 2.0957
C 0.7877 1.3643 4.5493
C 4.7475 0.0000 4.5493
C 2.3737 4.1114 2.0957
N -1.2210 2.1149 1.2874
N -1.9404 3.3608 5.3576
N 2.4421 0.0000 1.2874
N 1.2210 2.1149 5.3576
N 3.8808 0.0000 5.3576
N 1.9404 3.3608 1.2874

[12]
! LiHgSb2 | Alexandria via LeMat-Bulk | meta-GGA SCAN | single point on PBEsol structure; values from VASP
! ΔE_f (raw): -164 meV per atom
&SYSTEM
  ibrav = 0, nat = 4, ntyp = 3
/
ATOMIC_SPECIES
Li 6.94 Li.upf
Hg 200.59 Hg.upf
Sb 121.76 Sb.upf
CELL_PARAMETERS angstrom
3.0532 0.0000 0.0000
0.0000 4.4893 0.0000
-0.0152 0.0000 7.1506
ATOMIC_POSITIONS angstrom
Li 0.0000 0.0000 0.0000
Hg 1.5190 0.0000 3.5753
Sb 1.5239 2.2446 1.4746
Sb 1.5140 2.2446 5.6760

[13]
! RbHg2GeTe | Alexandria via LeMat-Bulk | meta-GGA SCAN | single point on PBEsol structure; values from VASP
! ΔE_f (raw): -295 meV per atom
&SYSTEM
  ibrav = 0, nat = 5, ntyp = 4
/
ATOMIC_SPECIES
Rb 85.47 Rb.upf
Hg 200.59 Hg.upf
Ge 72.64 Ge.upf
Te 127.60 Te.upf
CELL_PARAMETERS angstrom
5.3309 0.0000 0.0000
0.0000 5.3309 0.0000
0.0000 0.0000 5.7834
ATOMIC_POSITIONS angstrom
Rb 0.0000 0.0000 0.0000
Hg 0.0000 2.6654 2.8917
Hg 2.6654 0.0000 2.8917
Ge 2.6654 2.6654 2.8917
Te 2.6654 2.6654 0.0000

[14]
! Ca3CuIr | Alexandria via LeMat-Bulk | meta-GGA SCAN | single point on PBEsol structure; values from VASP
! ΔH_f (0 K): 517 meV/atom
&SYSTEM
  ibrav = 0, nat = 5, ntyp = 3
/
ATOMIC_SPECIES
Ca 40.08 Ca.upf
Cu 63.55 Cu.upf
Ir 192.22 Ir.upf
CELL_PARAMETERS angstrom
5.1060 0.0000 0.0000
0.0000 5.1060 0.0000
0.0000 0.0000 5.1060
ATOMIC_POSITIONS angstrom
Ca 0.0000 0.0000 2.5530
Ca 0.0000 2.5530 0.0000
Ca 2.5530 0.0000 0.0000
Cu 0.0000 0.0000 0.0000
Ir 2.5530 2.5530 2.5530

[15]
! Y3CrBr | Alexandria via LeMat-Bulk | meta-GGA SCAN | single point on PBEsol structure; values from VASP
! ΔE_f (raw): 6 meV per atom
&SYSTEM
  ibrav = 0, nat = 5, ntyp = 3
/
ATOMIC_SPECIES
Y 88.91 Y.upf
Cr 52.00 Cr.upf
Br 79.90 Br.upf
CELL_PARAMETERS angstrom
5.2462 0.0000 0.0000
0.0000 5.2462 0.0000
0.0000 0.0000 5.2462
ATOMIC_POSITIONS angstrom
Y 0.0000 0.0000 2.6231
Y 0.0000 2.6231 0.0000
Y 2.6231 0.0000 0.0000
Cr 2.6231 2.6231 2.6231
Br 0.0000 0.0000 0.0000

[16]
! Zn2GeAsN | Alexandria via LeMat-Bulk | meta-GGA SCAN | single point on PBEsol structure; values from VASP
! ΔE_f (raw): 1470 meV per atom
&SYSTEM
  ibrav = 0, nat = 5, ntyp = 4
/
ATOMIC_SPECIES
Zn 65.41 Zn.upf
Ge 72.64 Ge.upf
As 74.92 As.upf
N 14.01 N.upf
CELL_PARAMETERS angstrom
4.5875 0.0000 0.0000
0.0000 4.5875 0.0000
0.0000 0.0000 4.9742
ATOMIC_POSITIONS angstrom
Zn 0.0000 2.2937 0.0000
Zn 2.2937 0.0000 0.0000
Ge 0.0000 0.0000 0.0000
As 0.0000 0.0000 2.4871
N 2.2937 2.2937 2.4871

[17]
! Li3H3N2 | Alexandria via LeMat-Bulk | meta-GGA SCAN | single point on PBEsol structure; values from VASP
! Uncorrected energy: -40.8 eV/cell
&SYSTEM
  ibrav = 0, nat = 8, ntyp = 3
/
ATOMIC_SPECIES
Li 6.94 Li.upf
H 1.01 H.upf
N 14.01 N.upf
CELL_PARAMETERS angstrom
3.6680 0.0000 0.0000
0.0000 3.3842 0.0000
-0.0892 0.0000 5.1126
ATOMIC_POSITIONS angstrom
Li 0.0000 0.0000 0.0000
Li 0.5311 0.0000 2.8664
Li 2.3389 1.6921 3.2728
H 1.0778 1.6921 4.8736
H 2.0894 0.7972 1.2188
H 2.0894 2.5870 1.2188
N 0.4201 1.6921 4.0666
N 2.4459 0.0000 1.7725

[18]
! BaSi2Sb | Alexandria via LeMat-Bulk | meta-GGA SCAN | single point on PBEsol structure; values from VASP
! ΔE_f (raw): -110 meV per atom
&SYSTEM
  ibrav = 0, nat = 4, ntyp = 3
/
ATOMIC_SPECIES
Ba 137.33 Ba.upf
Si 28.09 Si.upf
Sb 121.76 Sb.upf
CELL_PARAMETERS angstrom
5.3712 0.0000 0.0000
0.0000 3.8774 0.0000
-1.7533 0.0000 5.2173
ATOMIC_POSITIONS angstrom
Ba 0.0000 0.0000 0.0000
Si -0.3609 1.9387 2.8043
Si 0.9703 0.0000 3.3631
Sb 2.5588 1.9387 1.8857

[19]
! EuZnSi | Alexandria via LeMat-Bulk | meta-GGA SCAN | single point on PBEsol structure; values from VASP
! ΔE_f (raw): -536 meV per atom
&SYSTEM
  ibrav = 0, nat = 6, ntyp = 3
/
ATOMIC_SPECIES
Eu 151.96 Eu.upf
Zn 65.41 Zn.upf
Si 28.09 Si.upf
CELL_PARAMETERS angstrom
4.1980 0.0000 0.0000
-2.0990 3.6356 0.0000
0.0000 0.0000 8.2117
ATOMIC_POSITIONS angstrom
Eu 0.0000 0.0000 0.0000
Eu 0.0000 0.0000 4.1059
Zn 0.0000 2.4237 2.0529
Zn 2.0990 1.2119 6.1588
Si 0.0000 2.4237 6.1588
Si 2.0990 1.2119 2.0529

[20]
! Ce2Si3 | Alexandria via LeMat-Bulk | meta-GGA SCAN | single point on PBEsol structure; values from VASP
! ΔE_f (raw): -570 meV per atom
&SYSTEM
  ibrav = 0, nat = 5, ntyp = 2
/
ATOMIC_SPECIES
Ce 140.12 Ce.upf
Si 28.09 Si.upf
CELL_PARAMETERS angstrom
-1.9460 2.0368 6.8881
1.9460 -2.0368 6.8881
1.9460 2.0368 -6.8881
ATOMIC_POSITIONS angstrom
Ce 0.0000 0.0000 0.0000
Ce 0.0000 2.0368 3.4708
Si 1.9460 0.0000 2.2439
Si 1.9460 0.0000 4.5703
Si 0.0000 0.0000 5.8819